The following is a DFT calculation (PBE) of crystalline NdZnInSe3 at its relaxed geometry.

a = 11.282 Å, b = 4.191 Å, c = 14.499 Å
α = 90.00°, β = 90.00°, γ = 90.00°
Element x y z (fractional)
Nd  0.487  0.750  0.263
Nd  0.513  0.250  0.737
Nd  0.987  0.750  0.237
Nd  0.013  0.250  0.763
Se  0.950  0.750  0.625
Se  0.242  0.750  0.181
Se  0.742  0.750  0.319
Se  0.450  0.750  0.875
Se  0.593  0.750  0.608
Se  0.758  0.250  0.819
Se  0.050  0.250  0.375
Se  0.093  0.750  0.892
Se  0.550  0.250  0.125
Se  0.407  0.250  0.392
Se  0.907  0.250  0.108
Se  0.258  0.250  0.681
Zn  0.763  0.750  0.715
Zn  0.263  0.750  0.785
Zn  0.237  0.250  0.285
Zn  0.737  0.250  0.215
In  0.289  0.250  0.998
In  0.789  0.250  0.502
In  0.211  0.750  0.498
In  0.711  0.750  0.002

## Properties
polymorph energy (0 for the lowest one): 0 meV/atom

=====

The following is a DFT calculation (PBE) of crystalline TaMoC2 at its relaxed geometry.

a = 3.132 Å, b = 3.132 Å, c = 4.430 Å
α = 90.00°, β = 90.00°, γ = 90.00°
Element x y z (fractional)
Ta  0.000  0.000  0.500
C  0.000  0.000  0.000
C  0.500  0.500  0.500
Mo  0.500  0.500  0.000

## Properties
electronic total energy: -10.46 eV per atom

=====

The following is a DFT calculation (PBE) of crystalline K4Na2H18PdI2O20 at its relaxed geometry.

a = 6.631 Å, b = 7.126 Å, c = 10.753 Å
α = 93.23°, β = 104.27°, γ = 94.90°
Element x y z (fractional)
O  0.515  0.299  0.377
O  0.926  0.744  0.132
O  0.352  0.044  0.658
O  0.787  0.964  0.599
O  0.076  0.729  0.632
O  0.698  0.403  0.625
O  0.661  0.401  0.921
O  0.485  0.701  0.623
O  0.302  0.597  0.375
O  0.394  0.107  0.146
O  0.648  0.956  0.342
O  0.329  0.572  0.821
O  0.339  0.599  0.079
O  0.772  0.073  0.134
O  0.228  0.927  0.866
O  0.924  0.271  0.368
O  0.606  0.893  0.854
O  0.671  0.428  0.179
O  0.213  0.036  0.401
O  0.074  0.256  0.868
H  0.183  0.360  0.871
H  0.463  0.531  0.118
H  0.650  0.382  0.010
H  0.385  0.487  0.368
H  0.350  0.618  0.990
H  0.857  0.864  0.135
H  0.817  0.640  0.129
H  0.143  0.136  0.865
H  0.668  0.871  0.608
H  0.537  0.469  0.882
H  0.639  0.351  0.534
H  0.089  0.113  0.382
H  0.302  0.018  0.561
H  0.698  0.982  0.439
H  0.911  0.887  0.618
H  0.361  0.649  0.466
H  0.332  0.129  0.392
H  0.615  0.513  0.632
I  0.340  0.796  0.737
I  0.660  0.204  0.263
Na  0.291  0.825  0.230
Na  0.709  0.175  0.770
K  0.915  0.671  0.865
K  0.096  0.330  0.616
K  0.085  0.329  0.135
K  0.904  0.670  0.384
Pd  0.500  0.000  0.000

## Properties
electronic total energy: -4.80 eV per atom